1.
A plane-wave DFT calculation with PBE-GGA was carried out for a relaxed structure of RePtW2.

As for the density of states at the Fermi level: 2.807 states/eV/f.u. For the energy of formation from the pure elements, the calculation gives 0.047 eV per atom. The calculation puts the total energy at -11.05 eV per atom. For the calculated volume, the calculation gives 15.64 A^3/atom. The energy above the most stable polymorph in this dataset is 142 meV per atom.

The space group is C2/m (No. 12) and the conventional cell measures 9.314, 2.772 and 4.913 Å, with angles of 90.00, 99.36 and 90.00 degrees. Symmetry generates all atoms from Re at (0.000, 0.000, 0.000), Pt at (0.000, 0.500, 0.500) and W at (0.250, 0.000, 0.750).



2.
A plane-wave DFT calculation with PBE-GGA was carried out for a relaxed structure of NaPt7O12.

As for the density of states at the Fermi level: 6.419 states/eV/f.u. The calculation puts the total energy at -5.61 eV per atom. For the calculated volume, the calculation gives 11.53 A^3/atom. The raw formation energy comes out at -458 meV/atom.

The space group is Im-3 (No. 204) and the conventional cell measures 7.726, 7.726 and 7.726 Å, with angles of 90.00, 90.00 and 90.00 degrees. Symmetry generates all atoms from Na at (0.000, 0.000, 0.000), Pt at (0.000, 0.000, 0.500), Pt at (0.250, 0.250, 0.250) and O at (0.000, 0.165, 0.302).



3.
A plane-wave DFT calculation with PBE-GGA was carried out for a relaxed structure of Cs2BO3.

The calculation puts the total energy at -5.72 eV per atom. For the calculated volume, the calculation gives 23.90 A^3/atom. The raw formation energy comes out at -1848 meV/atom. The energy above the most stable polymorph in this dataset is 0 meV per atom.

The space group is P-3m1 (No. 164) and the conventional cell measures 6.4823, 6.4823 and 7.8811 Å, with angles of 90.00, 90.00 and 120.00 degrees. Symmetry generates all atoms from Cs at (0.0000, 0.0000, 0.0000), Cs at (0.0000, 0.0000, 0.5000), Cs at (0.3333, 0.6667, 0.2486), B at (0.3333, 0.6667, 0.7503) and O at (0.2111, 0.4221, 0.7504).



> The lowest calculated volume belongs to which entry?

NaPt7O12



> Look up the calculated volume of the second one.

11.53 A^3/atom



> Among the records above, which one has the lowest calculated volume?

NaPt7O12



> The highest calculated volume belongs to which entry?

Cs2BO3